No. 1
VASP calculation (PBE) on K2MnZn after structural relaxation.

Results
The mass density comes out at 2156 kg/m³. As for the space group: Amm2, No. 38. The uncorrected energy is -2.650 eV/atom. The formation energy from the elements comes out at 0.510 eV per atom. Its total moment is 4.17 Bohr magnetons per cell.

The structure in POSCAR format:
```
K2MnZn
1.0
4.593 0.000 0.000
0.000 2.646 6.293
0.000 -2.646 6.293
K Mn Zn
2 1 1
Cartesian
0.000 0.000 0.000
2.297 0.000 3.747
0.000 0.000 8.698
2.297 0.000 7.558
```

---

No. 2
VASP calculation (PBE) on K2MnZn2 after structural relaxation.

Results
The mass density comes out at 2573 kg/m³. As for the space group: I4/mmm, No. 139. The uncorrected energy is -2.266 eV/atom. The formation energy from the elements comes out at 0.517 eV per atom. Its total moment is 4.23 Bohr magnetons per cell.

The structure in POSCAR format:
```
K2MnZn2
1.0
-3.338 3.338 3.822
3.338 -3.338 3.822
3.338 3.338 -3.822
K Mn Zn
2 1 2
Cartesian
3.338 0.000 1.911
0.000 3.338 1.911
0.000 0.000 0.000
0.000 0.000 2.589
0.000 0.000 5.055
```